# 1
## Ba2SbF (PBE)

Data for crystalline Ba2SbF at its relaxed geometry.

Lattice parameters (Å, degrees): 7.718 8.766 9.874 90.00 90.00 116.12
Element x y z (fractional)
Ba  0.614  0.228  0.382
Ba  0.386  0.772  0.618
Ba  0.886  0.772  0.882
Ba  0.114  0.228  0.118
Ba  0.591  0.682  0.250
Ba  0.909  0.318  0.750
Ba  0.409  0.318  0.750
Ba  0.091  0.682  0.250
Sb  0.682  0.363  0.057
Sb  0.318  0.637  0.943
Sb  0.818  0.637  0.557
Sb  0.182  0.363  0.443
F  0.943  0.886  0.143
F  0.057  0.114  0.857
F  0.557  0.114  0.643
F  0.443  0.886  0.357

VASP energy   -71.54 eV for the cell shown
Space-group type   Cmce
Relative energy among the computed polymorphs   0 meV per atom
Total magnetic moment   0.0 μB/f.u.
Raw formation energy   -2.012 eV/atom



# 2
## BaSb2F12 (PBE)

Data for crystalline BaSb2F12 at its relaxed geometry.

Lattice parameters (Å, degrees): 5.457 5.724 9.987 92.73 104.92 115.55
Element x y z (fractional)
Ba  0.010  0.985  0.894
Sb  0.186  0.505  0.590
Sb  0.410  0.684  0.139
F  0.071  0.518  0.969
F  0.515  0.576  0.756
F  0.965  0.256  0.692
F  0.149  0.772  0.702
F  0.249  0.238  0.509
F  0.441  0.778  0.520
F  0.851  0.438  0.446
F  0.750  0.857  0.288
F  0.198  0.428  0.232
F  0.253  0.919  0.167
F  0.584  0.919  0.015
F  0.517  0.439  0.060

VASP energy   -72.57 eV for the cell shown
Space-group type   P1
N(E_F)   0.0 states/eV/cell
Total magnetic moment   0.2 μB/f.u.
Raw formation energy   -2.663 eV/atom



# 3
## Ba4Sb2F (PBE)

Data for crystalline Ba4Sb2F at its relaxed geometry.

Lattice parameters (Å, degrees): 5.311 5.311 10.170 74.86 74.86 90.00
Element x y z (fractional)
Sb  0.367  0.367  0.266
Sb  0.633  0.633  0.734
Ba  0.183  0.183  0.634
Ba  0.817  0.817  0.366
Ba  0.000  0.500  0.000
Ba  0.500  0.000  0.000
F  0.000  0.000  0.000

VASP energy   -28.36 eV for the cell shown
Space-group type   I4/mmm
N(E_F)   4.5 states/eV/cell
Total magnetic moment   0.0 μB/f.u.
Raw formation energy   -1.508 eV/atom



# 4
## BaSbF5 (PBE)

Data for crystalline BaSbF5 at its relaxed geometry.

Lattice parameters (Å, degrees): 8.915 8.915 6.435 111.75 96.75 130.37
Element x y z (fractional)
Ba  0.540  0.790  0.250
Ba  0.460  0.210  0.750
Sb  0.000  0.000  0.000
Sb  0.000  0.500  0.500
F  0.213  0.095  0.337
F  0.288  0.762  0.460
F  0.242  0.624  0.837
F  0.921  0.171  0.250
F  0.302  0.328  0.040
F  0.698  0.672  0.960
F  0.079  0.829  0.750
F  0.758  0.376  0.163
F  0.712  0.238  0.540
F  0.787  0.905  0.663

VASP energy   -72.41 eV for the cell shown
Space-group type   C2/c
Relative energy among the computed polymorphs   100 meV per atom
N(E_F)   0.0 states/eV/cell
Total magnetic moment   0.0 μB/f.u.
Raw formation energy   -2.972 eV/atom



# 5
## BaSbF6 (PBE)

Data for crystalline BaSbF6 at its relaxed geometry.

Lattice parameters (Å, degrees): 16.039 6.564 6.564 60.43 144.51 144.51
Element x y z (fractional)
Ba  0.500  0.000  0.000
Sb  0.000  0.000  0.000
F  0.800  0.039  0.599
F  0.800  0.599  0.039
F  0.200  0.401  0.961
F  0.200  0.961  0.401
F  0.743  0.523  0.523
F  0.257  0.477  0.477

VASP energy   -40.27 eV for the cell shown
Space-group type   C2/m
Relative energy among the computed polymorphs   0 meV per atom
N(E_F)   2.4 states/eV/cell
Total magnetic moment   0.9 μB/f.u.
Raw formation energy   -2.875 eV/atom



# 6
## BaSbF (PBE)

Data for crystalline BaSbF at its relaxed geometry.

Lattice parameters (Å, degrees): 4.531 9.254 9.619 116.58 90.00 90.00
Element x y z (fractional)
Ba  0.250  0.455  0.672
Ba  0.750  0.045  0.328
Ba  0.750  0.545  0.328
Ba  0.250  0.955  0.672
Sb  0.250  0.853  0.995
Sb  0.750  0.647  0.005
Sb  0.750  0.147  0.005
Sb  0.250  0.353  0.995
F  0.250  0.625  0.500
F  0.750  0.875  0.500
F  0.750  0.375  0.500
F  0.250  0.125  0.500

VASP energy   -58.69 eV for the cell shown
Space-group type   P2_1/m
Relative energy among the computed polymorphs   0 meV per atom
N(E_F)   1.3 states/eV/cell
Total magnetic moment   0.0 μB/f.u.
Raw formation energy   -2.252 eV/atom



# 7
## BaSbF7 (PBE)

Data for crystalline BaSbF7 at its relaxed geometry.

Lattice parameters (Å, degrees): 10.067 5.718 10.492 88.96 90.00 90.00
Element x y z (fractional)
Ba  0.328  0.315  0.510
Ba  0.828  0.685  0.990
Ba  0.672  0.685  0.490
Ba  0.172  0.315  0.010
Sb  0.608  0.170  0.184
Sb  0.392  0.830  0.816
Sb  0.892  0.170  0.684
Sb  0.108  0.830  0.316
F  0.455  0.118  0.882
F  0.052  0.326  0.637
F  0.687  0.455  0.244
F  0.313  0.545  0.756
F  0.458  0.893  0.645
F  0.810  0.242  0.522
F  0.762  0.990  0.235
F  0.958  0.107  0.855
F  0.448  0.326  0.137
F  0.187  0.545  0.256
F  0.045  0.118  0.382
F  0.545  0.882  0.118
F  0.262  0.010  0.265
F  0.953  0.381  0.108
F  0.542  0.107  0.355
F  0.042  0.893  0.145
F  0.238  0.010  0.765
F  0.955  0.882  0.618
F  0.453  0.619  0.392
F  0.948  0.674  0.363
F  0.047  0.619  0.892
F  0.738  0.990  0.735
F  0.547  0.381  0.608
F  0.310  0.758  0.978
F  0.190  0.758  0.478
F  0.690  0.242  0.022
F  0.552  0.674  0.863
F  0.813  0.455  0.744

VASP energy   -178.69 eV for the cell shown
Space-group type   P2_1/c
N(E_F)   0.0 states/eV/cell
Total magnetic moment   0.0 μB/f.u.
Raw formation energy   -2.836 eV/atom



# 8
## Ba3Sb2F (PBE)

Data for crystalline Ba3Sb2F at its relaxed geometry.

Lattice parameters (Å, degrees): 4.592 7.529 12.636 90.00 100.47 90.00
Element x y z (fractional)
Ba  0.414  0.486  0.829
Ba  0.586  0.514  0.171
Ba  0.414  0.014  0.829
Ba  0.586  0.986  0.171
Ba  0.785  0.750  0.569
Ba  0.215  0.250  0.431
Sb  0.176  0.750  0.352
Sb  0.824  0.250  0.648
Sb  0.993  0.750  0.986
Sb  0.007  0.250  0.014
F  0.345  0.750  0.690
F  0.655  0.250  0.310

VASP energy   -52.10 eV for the cell shown
Space-group type   Cmcm
Relative energy among the computed polymorphs   0 meV per atom
N(E_F)   1.6 states/eV/cell
Total magnetic moment   0.0 μB/f.u.
Raw formation energy   -1.694 eV/atom